The following is a PBE calculation of a relaxed structure of La2MgTl, from Alexandria.

POSCAR file:
```
La2MgTl
1.0
6.235 0.013 0.000
2.515 5.705 0.000
-4.375 -2.859 3.400
Tl Mg La
1 1 2
Cartesian
3.117 0.006 1.700
4.375 2.859 0.000
0.000 0.000 0.000
1.257 2.853 1.700
```

Results
DFT formation energy, eV/atom: -0.208
Energy above the most stable polymorph in this dataset, meV per atom: 76
DOS at the Fermi energy, states/eV/f.u.: 5.0
Crystal system: tetragonal
ρ, Mg/m³: 7.0

The following is a PBE calculation of a relaxed structure of TiB3As, from Alexandria.

POSCAR file:
```
TiB3As
1.0
4.034 0.000 0.000
0.000 4.034 0.000
0.000 0.000 4.034
As B Ti
1 3 1
Cartesian
0.000 0.000 0.000
0.000 2.017 0.000
0.000 0.000 2.017
2.017 0.000 0.000
2.017 2.017 2.017
```

Results
DFT formation energy, eV/atom: 1.634
Energy above the most stable polymorph in this dataset, meV per atom: 0
DOS at the Fermi energy, states/eV/f.u.: 4.8
Crystal system: cubic
ρ, Mg/m³: 3.9

The following is a PBE calculation of a relaxed structure of AsRh2Se, from Alexandria.

POSCAR file:
```
AsRh2Se
1.0
-1.757 -3.549 -0.066
1.886 -0.995 3.336
-4.127 1.989 2.905
As Rh Se
1 2 1
Cartesian
-2.778 -0.935 5.380
1.133 -0.622 3.283
-0.688 -1.899 1.582
-0.900 0.401 2.388
```

Results
Energy above the most stable polymorph in this dataset, meV per atom: 0
DOS at the Fermi energy, states/eV/f.u.: 1.6
Crystal system: monoclinic
ρ, Mg/m³: 7.0

The following is a PBE calculation of a relaxed structure of CsAs2PdBr, from Alexandria.

POSCAR file:
```
CsAs2PdBr
1.0
-2.118 -1.651 5.682
-0.738 -5.914 -1.993
6.122 -1.397 1.877
Cs As Br Pd
1 2 1 1
Cartesian
0.000 0.000 0.000
-0.369 -2.957 -0.997
-1.059 -0.825 2.841
3.061 -0.698 0.938
1.633 -4.481 2.783
```

Results
Energy above the most stable polymorph in this dataset, meV per atom: 1662
DOS at the Fermi energy, states/eV/f.u.: 11.5
Crystal system: tetragonal
ρ, Mg/m³: 3.0

Copy entry 2 word for word.
The following is a PBE calculation of a relaxed structure of TiB3As, from Alexandria.

POSCAR file:
```
TiB3As
1.0
4.034 0.000 0.000
0.000 4.034 0.000
0.000 0.000 4.034
As B Ti
1 3 1
Cartesian
0.000 0.000 0.000
0.000 2.017 0.000
0.000 0.000 2.017
2.017 0.000 0.000
2.017 2.017 2.017
```

Results
DFT formation energy, eV/atom: 1.634
Energy above the most stable polymorph in this dataset, meV per atom: 0
DOS at the Fermi energy, states/eV/f.u.: 4.8
Crystal system: cubic
ρ, Mg/m³: 3.9

Q: Which value of ρ does entry 1 give?
A: 7.0 Mg/m³

Q: Which of these has the highest energy above the most stable polymorph in this dataset?
A: CsAs2PdBr